[1]
VASP calculation (PBE) on a geometry-optimized BiTeRh3 structure.

Structure (POSCAR):
```
BiTeRh3
1.0
-3.909 0.293 -1.683
-3.009 -2.410 6.570
-0.413 5.971 2.001
Rh Te Bi
6 2 2
direct
0.500 0.192 0.679
0.500 0.442 0.098
0.500 0.558 0.598
0.500 0.808 0.179
0.000 0.315 0.394
0.000 0.685 0.894
0.500 0.866 0.784
0.500 0.134 0.284
0.000 0.664 0.350
0.000 0.336 0.850
```

formation energy (no corrections) = -0.154 eV per atom
total magnetic moment = 0.00 μB per formula unit
ρ = 10.45 g cm⁻³
space-group type = No. 26
ΔE to the lowest computed polymorph = 0.0 meV per atom

---

[2]
VASP calculation (PBE) on a geometry-optimized Y6MgCo2 structure.

Structure (POSCAR):
```
Y6MgCo2
1.0
1.756 2.546 -7.841
4.199 -7.120 1.647
-8.187 -1.712 1.042
Y Mg Co
12 2 4
direct
0.796 0.561 0.764
0.314 0.679 0.992
0.468 0.183 0.285
0.532 0.817 0.715
0.796 0.032 0.236
0.898 0.183 0.715
0.204 0.968 0.764
0.686 0.679 0.365
0.314 0.321 0.635
0.102 0.817 0.285
0.686 0.321 0.008
0.204 0.439 0.236
0.000 0.000 0.000
0.000 0.500 0.500
0.500 0.113 0.613
0.500 0.887 0.387
0.330 0.330 0.000
0.670 0.670 0.000
```

total magnetic moment = 0.00 μB per formula unit
ρ = 4.88 g cm⁻³
formation energy from the elements = -0.142 eV/atom
space-group type = No. 71

---

[3]
VASP calculation (PBE) on a geometry-optimized LaSeI2O structure.

Structure (POSCAR):
```
LaSeI2O
1.0
-3.098 0.155 5.187
-4.001 -3.919 -2.273
2.131 -2.965 1.361
O La I Se
1 1 2 1
direct
0.000 0.000 0.500
0.500 0.500 0.500
0.500 0.000 0.000
0.000 0.500 0.000
0.000 0.000 0.000
```

formation energy (no corrections) = -0.436 eV per atom
total magnetic moment = 0.17 μB per formula unit
ρ = 5.69 g cm⁻³
space-group type = No. 123
ΔE to the lowest computed polymorph = 507.5 meV per atom

---

[4]
VASP calculation (PBE) on a geometry-optimized Zr2CuPb structure.

Structure (POSCAR):
```
Zr2CuPb
1.0
-2.315 4.001 1.827
0.103 0.917 4.884
2.652 3.820 1.757
Zr Pb Cu
2 1 1
direct
0.750 0.750 0.750
0.000 0.000 0.000
0.250 0.250 0.250
0.500 0.500 0.500
```

total magnetic moment = 2.42 μB per formula unit
ρ = 8.67 g cm⁻³
formation energy from the elements = 0.371 eV/atom
space-group type = No. 216

---

[5]
VASP calculation (PBE) on a geometry-optimized LaPr2Ga2Sn2 structure.

Structure (POSCAR):
```
LaPr2Ga2Sn2
1.0
4.691 0.000 0.000
2.346 4.063 0.000
2.346 1.354 10.537
Pr La Sn Ga
2 1 2 2
direct
0.128 0.128 0.616
0.872 0.872 0.384
0.000 0.000 0.000
0.272 0.272 0.183
0.728 0.728 0.817
0.419 0.419 0.744
0.581 0.581 0.256
```

total magnetic moment = 0.00 μB per formula unit
ρ = 6.59 g cm⁻³
formation energy from the elements = -0.454 eV/atom
space-group type = No. 166

---

[6]
VASP calculation (PBE) on a geometry-optimized Zn2SbPt structure.

Structure (POSCAR):
```
Zn2SbPt
1.0
4.474 -0.086 -0.370
3.095 3.232 -0.370
0.340 0.141 5.642
Zn Sb Pt
2 1 1
direct
0.932 0.932 0.117
0.221 0.221 0.275
0.827 0.827 0.671
0.520 0.520 0.437
```

formation energy (no corrections) = -0.193 eV per atom
total magnetic moment = 0.00 μB per formula unit
ρ = 8.89 g cm⁻³
space-group type = No. 8

---

[7]
VASP calculation (PBE) on a geometry-optimized BeNiSe structure.

Structure (POSCAR):
```
BeNiSe
1.0
-3.347 -0.413 -3.658
-4.719 -2.190 4.565
-1.315 4.325 0.715
Be Se Ni
4 4 4
direct
0.336 0.750 0.173
0.836 0.750 0.327
0.164 0.250 0.673
0.664 0.250 0.827
0.000 0.000 0.000
0.500 0.500 0.500
0.500 0.000 0.500
0.000 0.500 0.000
0.195 0.750 0.676
0.305 0.250 0.176
0.805 0.250 0.324
0.695 0.750 0.824
```

formation energy (no corrections) = -0.034 eV per atom
total magnetic moment = 0.00 μB per formula unit
ρ = 6.18 g cm⁻³
space-group type = No. 62

---

[8]
VASP calculation (PBE) on a geometry-optimized YAs2Au2 structure.

Structure (POSCAR):
```
YAs2Au2
1.0
-6.779 -2.595 2.297
2.584 -0.422 7.149
-1.100 3.404 0.599
Y Au As
2 4 4
direct
0.500 0.500 0.000
0.000 0.000 0.000
0.876 0.624 0.000
0.376 0.876 0.000
0.624 0.124 0.000
0.124 0.376 0.000
0.308 0.192 0.500
0.192 0.692 0.500
0.692 0.808 0.500
0.808 0.308 0.500
```

total magnetic moment = 0.00 μB per formula unit
ρ = 10.00 g cm⁻³
formation energy from the elements = -0.348 eV/atom
space-group type = No. 127
ΔE to the lowest computed polymorph = 66.6 meV per atom

---

Number 1: density of states at the Fermi level 4.9 states/eV/cell. Number 2: density of states at the Fermi level 23.0 states/eV/cell. Number 3: density of states at the Fermi level 6.3 states/eV/cell. Number 4: density of states at the Fermi level 5.1 states/eV/cell. Number 5: density of states at the Fermi level 4.5 states/eV/cell. Number 6: density of states at the Fermi level 0.9 states/eV/cell. Number 7: density of states at the Fermi level 5.0 states/eV/cell. Number 8: density of states at the Fermi level 4.0 states/eV/cell.